# 1
Computed, not measured: a geometry-optimized PmSm2Zn structure at the PBE level of DFT.

The structure in POSCAR format:
```
PmSm2Zn
1.0
3.644 0.000 0.000
0.000 3.644 0.000
0.000 0.000 8.787
Pm Sm Zn
1 2 1
Direct
0.000 0.000 0.000
0.500 0.500 0.294
0.500 0.500 0.706
0.000 0.000 0.500
```

Summary:
- uncorrected energy (eV per atom) = -4.020
- crystal system = tetragonal
- formation energy (eV/atom) = -0.154


# 2
Computed, not measured: a geometry-optimized Pm2SmZn6 structure at the PBE level of DFT.

The structure in POSCAR format:
```
Pm2SmZn6
1.0
7.879 0.000 0.000
-3.940 6.824 0.000
0.000 0.000 3.599
Pm Sm Zn
2 1 6
Direct
0.333 0.667 0.000
0.667 0.333 0.000
0.000 0.000 0.000
0.000 0.333 0.500
0.000 0.667 0.500
0.333 0.000 0.500
0.333 0.333 0.500
0.667 0.000 0.500
0.667 0.667 0.500
```

Summary:
- uncorrected energy (eV per atom) = -2.789
- crystal system = hexagonal
- formation energy (eV/atom) = -0.359


# 3
Computed, not measured: a geometry-optimized PmSm2Zn structure at the PBE level of DFT.

The structure in POSCAR format:
```
PmSm2Zn
1.0
4.834 0.000 0.000
0.000 4.834 0.000
0.000 0.000 4.838
Pm Sm Zn
1 2 1
Direct
0.000 0.000 0.000
0.000 0.500 0.500
0.500 0.000 0.500
0.500 0.500 0.000
```

Summary:
- uncorrected energy (eV per atom) = -3.900
- crystal system = tetragonal
- formation energy (eV/atom) = -0.035


# 4
Computed, not measured: a geometry-optimized PmSm2Zn3 structure at the PBE level of DFT.

The structure in POSCAR format:
```
PmSm2Zn3
1.0
5.155 0.000 0.000
-2.578 4.464 0.000
0.000 0.000 6.309
Pm Sm Zn
1 2 3
Direct
0.000 0.000 0.000
0.333 0.667 0.665
0.667 0.333 0.335
0.000 0.000 0.500
0.333 0.667 0.167
0.667 0.333 0.833
```

Summary:
- uncorrected energy (eV per atom) = -3.321
- crystal system = trigonal
- formation energy (eV/atom) = -0.319


# 5
Computed, not measured: a geometry-optimized Pm2Sm2Zn structure at the PBE level of DFT.

The structure in POSCAR format:
```
Pm2Sm2Zn
1.0
-2.130 2.130 9.124
2.130 -2.130 9.124
2.130 2.130 -9.124
Pm Sm Zn
2 2 1
Direct
0.250 0.750 0.500
0.750 0.250 0.500
0.084 0.084 0.000
0.916 0.916 0.000
0.500 0.500 0.000
```

Summary:
- uncorrected energy (eV per atom) = -3.641
- crystal system = tetragonal
- formation energy (eV/atom) = 0.402


# 6
Computed, not measured: a geometry-optimized PmSmZn4 structure at the PBE level of DFT.

The structure in POSCAR format:
```
PmSmZn4
1.0
0.000 3.920 3.920
3.920 0.000 3.920
3.920 3.920 0.000
Pm Sm Zn
1 1 4
Direct
0.000 0.000 0.000
0.250 0.250 0.250
0.125 0.625 0.625
0.625 0.125 0.625
0.625 0.625 0.125
0.625 0.625 0.625
```

Summary:
- uncorrected energy (eV per atom) = -2.759
- crystal system = cubic
- formation energy (eV/atom) = -0.331


Magnetic moment (computed, Bohr magnetons per cell): 0.0 0.0 0.0 0.0 0.0 0.0